1.
Sc3UAg3S8: relaxed, GGA-PBE.

Geometry as POSCAR:
```
Sc3UAg3S8
1.0
7.656 0.000 0.000
-3.828 6.630 -0.040
0.000 -4.415 6.231
Sc U Ag S
3 1 3 8
Cartesian
3.828 -2.207 3.116
1.914 1.107 3.096
-1.914 1.107 3.096
0.000 -2.207 3.116
0.000 0.000 0.000
-1.914 3.315 -0.020
1.914 3.315 -0.020
0.000 2.203 1.673
3.828 0.011 4.518
3.828 2.138 1.667
0.000 0.077 4.524
5.684 -1.078 1.685
-1.856 3.293 4.506
1.972 -1.078 1.685
1.856 3.293 4.506
```

Formation energy (no corrections)   -1.20 eV per atom
Symmetry   C2/m
Magnetic moment   2.00 μB per formula unit

2.
Sc2UAg2S6: relaxed, GGA-PBE.

Geometry as POSCAR:
```
Sc2UAg2S6
1.0
-2.613 -5.084 3.448
6.601 0.397 -0.912
0.036 4.042 5.158
Sc U Ag S
2 1 2 6
Cartesian
3.517 0.573 3.135
0.507 -1.217 4.559
0.018 2.021 2.579
-1.441 -4.386 2.893
5.428 -0.301 -0.357
2.772 -0.321 5.456
2.418 2.912 3.437
1.251 -0.324 2.237
-0.781 1.009 4.950
1.606 -3.556 4.256
4.805 -1.654 2.743
```

Formation energy (no corrections)   -1.23 eV per atom
Symmetry   C2/m
Magnetic moment   2.01 μB per formula unit